A relaxed structure of K3MgCo. Source: Alexandria via LeMat-Bulk, functional PBE.

Output
- energy of formation (eV/f.u.) = 3.9
- polymorph energy (0 for the lowest one) (meV per atom) = 0.0
- space group = Pm-3m, No. 221
- calculated volume (A^3/atom) = 51.0
- energy (eV/atom) = -1.61

Cell: 6.341 6.341 6.341 Å, 90.00 90.00 90.00°
Fractional positions:
K  0.000  0.000  0.500
K  0.000  0.500  0.000
K  0.500  0.000  0.000
Mg  0.500  0.500  0.500
Co  0.000  0.000  0.000

***

A relaxed structure of K2TlSe2. Source: Alexandria via LeMat-Bulk, functional PBE.

Output
- formation energy from raw total energies (eV/f.u.) = -3.88
- polymorph energy (0 for the lowest one) (meV per atom) = 53.6
- space group = Ibam, No. 72
- calculated volume (A^3/atom) = 36.3
- energy (eV/atom) = -3.08

Cell: 8.416 8.416 8.416 Å, 124.17 77.75 130.58°
Fractional positions:
K  0.140  0.153  0.293
K  0.360  0.653  0.013
K  0.640  0.347  0.987
K  0.860  0.847  0.707
Tl  0.250  0.750  0.500
Tl  0.750  0.250  0.500
Se  0.114  0.731  0.845
Se  0.386  0.231  0.617
Se  0.614  0.769  0.383
Se  0.886  0.269  0.155

***

A relaxed structure of Ca5In4Ge. Source: Alexandria via LeMat-Bulk, functional PBE.

Output
- energy of formation (eV/f.u.) = -4.7
- space group = P4/mmm, No. 123
- calculated volume (A^3/atom) = 27.8
- energy (eV/atom) = -3.02

Cell: 3.831 3.831 18.976 Å, 90.00 90.00 90.00°
Fractional positions:
Ca  0.000  0.000  0.000
Ca  0.000  0.000  0.204
Ca  0.000  0.000  0.410
Ca  0.000  0.000  0.590
Ca  0.000  0.000  0.796
In  0.500  0.500  0.103
In  0.500  0.500  0.304
In  0.500  0.500  0.696
In  0.500  0.500  0.897
Ge  0.500  0.500  0.500

***

A relaxed structure of K2RbMgAu. Source: Alexandria via LeMat-Bulk, functional PBE.

Output
- energy of formation (eV/f.u.) = -0.4
- space group = P4/mmm, No. 123
- calculated volume (A^3/atom) = 46.8
- energy (eV/atom) = -1.70

Cell: 6.556 6.556 5.450 Å, 90.00 90.00 90.00°
Fractional positions:
K  0.000  0.500  0.000
K  0.500  0.000  0.000
Rb  0.000  0.000  0.500
Mg  0.500  0.500  0.500
Au  0.500  0.500  0.000

***

Q: Which of these has the highest energy?
A: K3MgCo